{
  "formula": "Zr2IrCl",
  "functional": "GGA-PBE",
  "state": "relaxed",
  "lattice_angstrom": [[-2.182, 2.380, 3.458], [0.798, 4.630, 0.553], [-3.390, 3.127, -1.055]],
  "species": ["Zr", "Zr", "Cl", "Ir"],
  "fractional_positions": [[0.250, 0.250, 0.250], [0.750, 0.750, 0.750], [0.000, 0.000, 0.000], [0.500, 0.500, 0.500]],
  "density_g_cm3": 9.1,
  "volume_a3_per_atom": 18.72,
  "space_group": "Fm-3m, No. 225",
  "e_form_raw_ev_per_atom": -0.432,
  "e_above_lowest_polymorph_ev_per_atom": 0.3781,
  "dft_energy_ha_per_atom": -0.2713,
  "dos_ef_per_ev_fu": 5.54,
  "total_magnetization_mub_per_fu": 0.00
}

=====

{
  "formula": "Cs2ICl",
  "functional": "GGA-PBE",
  "state": "relaxed",
  "lattice_angstrom": [[-0.011, -5.104, -0.569], [3.678, -2.836, 2.192], [-3.849, -3.466, 7.988]],
  "species": ["I", "Cl", "Cs", "Cs"],
  "fractional_positions": [[0.499, 0.499, 0.502], [0.667, 0.667, 0.998], [0.259, 0.259, 0.223], [0.074, 0.074, 0.777]],
  "density_g_cm3": 3.4,
  "volume_a3_per_atom": 51.66,
  "space_group": "R3m, No. 160",
  "e_form_raw_ev_per_atom": -1.733,
  "dft_energy_ha_per_atom": -0.1106,
  "dos_ef_per_ev_fu": 0.00,
  "total_magnetization_mub_per_fu": 0.00
}

=====

{
  "formula": "NpNiPdAu",
  "functional": "GGA-PBE",
  "state": "relaxed",
  "lattice_angstrom": [[-1.167, -0.775, 4.438], [2.712, -2.659, 2.690], [2.484, 1.930, 3.430]],
  "species": ["Np", "Pd", "Au", "Ni"],
  "fractional_positions": [[0.500, 0.500, 0.500], [0.750, 0.750, 0.750], [0.000, 0.000, 0.000], [0.250, 0.250, 0.250]],
  "density_g_cm3": 14.0,
  "formation_enthalpy_0k_ev_per_fu": -0.4,
  "volume_a3_per_atom": 17.82,
  "space_group": "F-43m, No. 216",
  "dft_energy_ha_per_atom": -0.2536,
  "dos_ef_per_ev_fu": 9.99,
  "total_magnetization_mub_per_fu": 3.51
}

=====

{
  "formula": "Ac2Tm2Sn3",
  "functional": "GGA-PBE",
  "state": "relaxed",
  "lattice_angstrom": [[4.153, 0.525, 0.782], [-1.057, 8.182, 0.057], [1.045, -0.791, 6.504]],
  "species": ["Sn", "Sn", "Sn", "Ac", "Ac", "Tm", "Tm"],
  "fractional_positions": [[0.834, 0.429, 0.331], [0.166, 0.571, 0.669], [0.000, 0.000, 0.000], [0.574, 0.294, 0.854], [0.426, 0.706, 0.146], [0.309, 0.146, 0.381], [0.691, 0.854, 0.619]],
  "density_g_cm3": 8.7,
  "formation_enthalpy_0k_ev_per_fu": -3.4,
  "volume_a3_per_atom": 31.26,
  "space_group": "P-1, No. 2",
  "dft_energy_ha_per_atom": -0.1709,
  "dos_ef_per_ev_fu": 5.23,
  "total_magnetization_mub_per_fu": 0.00
}